1.
An optimized crystal structure of La2AlCu. Source: Alexandria, functional PBE.

Formation energy from the elements in kcal/mol of atoms: -5.93
Final energy in eV per atom: -4.68

abc: 5.5912 4.4516 8.7508
angles: 90.00 98.53 90.00
Last column: nearest neighbours and their distance in Å.
Space group P2_1/m (No. 11)
Unique sites:
La (0.2196, 0.2500, 0.4377)  1 Cu 3.12, 4 Al 3.16-3.39
La (0.2691, 0.7500, 0.0900)  2 Cu 2.86-3.11, 1 Al 3.19
Al (0.3205, 0.7500, 0.7322)  2 Cu 2.44
Cu (0.1786, 0.2500, 0.7890)  2 Al 2.44

2.
An optimized crystal structure of LaAl2Cu. Source: Alexandria, functional PBE.

Formation energy from the elements in kcal/mol of atoms: -6.67
Final energy in eV per atom: -4.42

abc: 5.2502 7.5534 4.3198
angles: 90.00 90.00 90.00
Last column: nearest neighbours and their distance in Å.
Space group Cmmm (No. 65)
Unique sites:
La (0.0000, 0.0000, 0.0000)  2 Cu 2.63
Al (0.0000, 0.3245, 0.5000)  2 Cu 2.53, 1 Al 2.65
Cu (0.0000, 0.5000, 0.0000)  4 Al 2.53, 2 La 2.63

3.
An optimized crystal structure of La3Al3Cu8. Source: Alexandria, functional PBE.

Formation energy from the elements in kcal/mol of atoms: -6.85
Final energy in eV per atom: -4.50
Energy above the lowest structure with this stoichiometry in meV/atom: 0

abc: 15.6231 4.2306 9.0858
angles: 90.00 121.55 90.00
Last column: nearest neighbours and their distance in Å.
Space group C2/m (No. 12)
Unique sites:
La (0.0000, 0.0000, 0.0000)  8 Cu 2.85-3.11
La (0.1977, 0.5000, 0.6508)  10 Cu 3.05-3.22, 5 Al 3.38-3.39
Al (0.0000, 0.0000, 0.5000)  4 Cu 2.45-2.55
Al (0.1831, 0.5000, 0.0096)  5 Cu 2.55-2.66
Cu (0.0128, 0.5000, 0.7060)  5 Cu 2.58-2.62, 3 Al 2.65-2.76
Cu (0.1017, 0.0000, 0.3669)  1 Al 2.45, 4 Cu 2.54-2.62
Cu (0.1257, 0.0000, 0.8247)  4 Al 2.55, 2 Cu 2.60
Cu (0.1399, 0.5000, 0.2562)  3 Cu 2.54-2.58, 1 Al 2.66

4.
An optimized crystal structure of LaAl2Cu. Source: Alexandria, functional PBE.

Formation energy from the elements in kcal/mol of atoms: 2.23
Final energy in eV per atom: -4.03

abc: 3.1652 3.1652 28.0862
angles: 90.00 90.00 120.00
Last column: nearest neighbours and their distance in Å.
Space group R-3m (No. 166, hexagonal axes)
Unique sites:
La (0.0000, 0.0000, 0.0000)  6 La 3.17, 6 Al 3.36
Al (0.0000, 0.0000, 0.2330)  3 Cu 2.61
Cu (0.0000, 0.0000, 0.5000)  6 Al 2.61

5.
An optimized crystal structure of LaAl2Cu. Source: Alexandria, functional PBE.

Formation energy from the elements in kcal/mol of atoms: -2.36
Final energy in eV per atom: -4.23

abc: 4.8905 4.8905 16.5293
angles: 90.00 90.00 90.00
Last column: nearest neighbours and their distance in Å.
Space group I-42d (No. 122)
Unique sites:
La (0.0000, 0.0000, 0.0000)  8 Al 3.35-3.51, 4 Cu 3.46
Al (0.0223, 0.2500, 0.6250)  2 Cu 2.40, 2 Al 2.45
Cu (0.0000, 0.0000, 0.5000)  4 Al 2.40

6.
An optimized crystal structure of LaAl2Cu. Source: Alexandria, functional PBE.

Formation energy from the elements in kcal/mol of atoms: -1.80
Final energy in eV per atom: -4.21

abc: 6.8742 6.8742 6.8742
angles: 90.00 90.00 90.00
Last column: nearest neighbours and their distance in Å.
Space group Fm-3m (No. 225)
Unique sites:
La (0.0000, 0.0000, 0.0000)  8 Al 2.98
Al (0.2500, 0.2500, 0.2500)  4 La 2.98, 4 Cu 2.98
Cu (0.0000, 0.0000, 0.5000)  8 Al 2.98

7.
An optimized crystal structure of LaAlCu. Source: Alexandria, functional PBE.

Formation energy from the elements in kcal/mol of atoms: -4.74
Final energy in eV per atom: -4.46

abc: 6.6139 6.6139 6.6139
angles: 90.00 90.00 90.00
Last column: nearest neighbours and their distance in Å.
Space group F-43m (No. 216)
Unique sites:
La (0.0000, 0.0000, 0.0000)  4 Cu 2.86
Al (0.0000, 0.0000, 0.5000)  4 Cu 2.86
Cu (0.2500, 0.2500, 0.7500)  4 La 2.86, 4 Al 2.86

8.
An optimized crystal structure of La2Al5Cu3. Source: Alexandria, functional PBE.

Formation energy from the elements in kcal/mol of atoms: -8.41
Final energy in eV per atom: -4.45
Energy above the lowest structure with this stoichiometry in meV/atom: 77

abc: 4.3499 4.3499 10.3481
angles: 90.00 90.00 90.00
Last column: nearest neighbours and their distance in Å.
Space group P-4m2 (No. 115)
Unique sites:
La (0.0000, 0.5000, 0.2364)  10 Al 3.27-3.49, 7 Cu 3.27-3.61
Al (0.0000, 0.0000, 0.5000)  4 Al 2.70
Al (0.0000, 0.5000, 0.6549)  1 Cu 2.41
Al (0.5000, 0.5000, 0.0000)  4 Cu 2.47
Al (0.5000, 0.5000, 0.5000)  4 Al 2.70
Cu (0.0000, 0.0000, 0.0000)  4 Cu 2.47
Cu (0.0000, 0.5000, 0.8877)  3 Al 2.41-2.47, 2 Cu 2.47

9.
An optimized crystal structure of LaAl2Cu. Source: Alexandria, functional PBE.

Formation energy from the elements in kcal/mol of atoms: -2.74
Final energy in eV per atom: -4.25

abc: 4.2949 4.2949 4.5875
angles: 90.00 90.00 90.00
Last column: nearest neighbours and their distance in Å.
Space group P4/mmm (No. 123)
Unique sites:
La (0.0000, 0.0000, 0.0000)  4 Cu 3.04, 8 Al 3.14
Al (0.0000, 0.5000, 0.5000)  4 Al 3.04, 4 La 3.14, 4 Cu 3.14
Cu (0.5000, 0.5000, 0.0000)  4 La 3.04, 8 Al 3.14

10.
An optimized crystal structure of La8Al2Cu. Source: Alexandria, functional PBE.

Formation energy from the elements in kcal/mol of atoms: -3.79
Final energy in eV per atom: -4.80

abc: 19.1743 5.2794 6.9531
angles: 90.00 105.45 90.00
Last column: nearest neighbours and their distance in Å.
Space group C2/m (No. 12)
Unique sites:
La (0.0143, 0.0000, 0.2820)  2 Cu 3.09, 1 La 3.22, 1 Al 3.32
La (0.0925, 0.5000, 0.9516)  1 Cu 3.17, 2 Al 3.41, 3 La 3.43-3.47
La (0.1560, 0.5000, 0.4620)  1 Cu 3.07, 3 Al 3.22-3.32, 3 La 3.43
La (0.2094, 0.0000, 0.7824)  3 Al 3.25-3.39, 3 La 3.43-3.45
Al (0.1801, 0.0000, 0.2216)  9 La 3.22-3.41
Cu (0.0000, 0.5000, 0.5000)  8 La 3.07-3.17

11.
An optimized crystal structure of LiLa2Al3Cu12. Source: Alexandria, functional PBE.

Formation energy from the elements in kcal/mol of atoms: 2.32
Final energy in eV per atom: -3.91

abc: 6.2536 6.2536 26.8547
angles: 90.00 90.00 120.00
Last column: nearest neighbours and their distance in Å.
Space group R-3m (No. 166, hexagonal axes)
Unique sites:
Li (0.0000, 0.0000, 0.0000)  6 Cu 2.44
La (0.0000, 0.0000, 0.3439)  6 Cu 3.09-3.16
Al (0.0000, 0.5000, 0.5000)  6 Cu 2.45-2.56
Cu (0.0613, 0.5306, 0.5944)  1 Li 2.44, 4 Cu 2.47-2.55, 1 Al 2.56
Cu (0.0736, 0.5368, 0.1160)  4 Cu 2.44-2.47, 2 Al 2.45

12.
An optimized crystal structure of LiLaAlCu. Source: Alexandria, functional PBE.

Formation energy from the elements in kcal/mol of atoms: -5.87
Final energy in eV per atom: -3.92

abc: 6.7924 6.7924 6.7924
angles: 90.00 90.00 90.00
Last column: nearest neighbours and their distance in Å.
Space group F-43m (No. 216)
Unique sites:
Li (0.0000, 0.0000, 0.0000)  4 La 2.94, 4 Al 2.94
La (0.2500, 0.2500, 0.7500)  4 Li 2.94, 4 Cu 2.94
Al (0.2500, 0.2500, 0.2500)  4 Li 2.94, 4 Cu 2.94
Cu (0.0000, 0.0000, 0.5000)  4 La 2.94, 4 Al 2.94

Number 1: magnetic moment 0.0 μB per cell. Number 2: magnetic moment 0.0 μB per cell. Number 3: magnetic moment 0.0 μB per cell. Number 4: magnetic moment 1.9 μB per cell. Number 5: magnetic moment 0.0 μB per cell. Number 6: magnetic moment 0.0 μB per cell. Number 7: magnetic moment 0.0 μB per cell. Number 8: magnetic moment 0.0 μB per cell. Number 9: magnetic moment 0.0 μB per cell. Number 10: magnetic moment 0.0 μB per cell. Number 11: magnetic moment 0.0 μB per cell. Number 12: magnetic moment 0.0 μB per cell.